[1]
First-principles (PBE) data for an optimized crystal structure of PmYEr, as listed in Alexandria via LeMat-Bulk.

Cell lengths 5.636, 5.636, 3.521 Å; angles 90.00, 90.00, 120.00 degrees
Element x y z (fractional)
1 Pm 0.000 0.000 0.000
2 Y 0.667 0.333 0.500
3 Er 0.333 0.667 0.000

Output
* density: 6.9 Mg/m³
* ΔE to the lowest computed polymorph: 55 meV/atom
* formation energy: 0.064 eV/atom
* electronic total energy: -5.195 eV per atom
* SG: P-6m2



[2]
First-principles (PBE) data for an optimized crystal structure of PmY15Er4, as listed in Alexandria via LeMat-Bulk.

Cell lengths 5.037, 5.037, 25.196 Å; angles 90.00, 90.00, 90.00 degrees
Element x y z (fractional)
1 Pm 0.000 0.000 0.000
2 Y 0.000 0.500 0.101
3 Y 0.000 0.500 0.301
4 Y 0.000 0.500 0.500
5 Y 0.000 0.500 0.699
6 Y 0.000 0.500 0.899
7 Y 0.500 0.000 0.101
8 Y 0.500 0.000 0.301
9 Y 0.500 0.000 0.500
10 Y 0.500 0.000 0.699
11 Y 0.500 0.000 0.899
12 Y 0.500 0.500 0.000
13 Y 0.500 0.500 0.201
14 Y 0.500 0.500 0.400
15 Y 0.500 0.500 0.600
16 Y 0.500 0.500 0.799
17 Er 0.000 0.000 0.201
18 Er 0.000 0.000 0.400
19 Er 0.000 0.000 0.600
20 Er 0.000 0.000 0.799

Output
* density: 5.6 Mg/m³
* formation energy: 0.025 eV/atom
* electronic total energy: -5.973 eV per atom
* SG: P4/mmm



[3]
First-principles (PBE) data for an optimized crystal structure of Pm5Y3Er, as listed in Alexandria via LeMat-Bulk.

Cell lengths 7.708, 7.708, 11.059 Å; angles 90.00, 90.00, 68.18 degrees
Element x y z (fractional)
1 Pm 0.034 0.684 0.027
2 Pm 0.034 0.684 0.473
3 Pm 0.162 0.838 0.750
4 Pm 0.316 0.966 0.027
5 Pm 0.316 0.966 0.473
6 Pm 0.684 0.034 0.527
7 Pm 0.684 0.034 0.973
8 Pm 0.838 0.162 0.250
9 Pm 0.966 0.316 0.527
10 Pm 0.966 0.316 0.973
11 Y 0.286 0.297 0.250
12 Y 0.297 0.286 0.750
13 Y 0.500 0.500 0.000
14 Y 0.500 0.500 0.500
15 Y 0.703 0.714 0.250
16 Y 0.714 0.703 0.750
17 Er 0.257 0.743 0.250
18 Er 0.743 0.257 0.750

Output
* density: 6.3 Mg/m³
* ΔE to the lowest computed polymorph: 0 meV/atom
* formation energy: 0.239 eV/atom
* electronic total energy: -5.062 eV per atom
* SG: Cmcm



| no. | total magnetic moment (μB/cell) |
| --- | --- |
| 1 | 0.00 |
| 2 | 0.00 |
| 3 | 0.00 |